First-principles (GGA+U) data for Fe3CoO after structural relaxation, as listed in the Alexandria database.

Unit cell a=4.1530 b=4.1530 c=4.1530 alpha=90.00 beta=90.00 gamma=90.00
Space group Pm-3m (No. 221)
Asymmetric unit:
Fe1 0.0000 0.0000 0.5000 x3
Co1 0.5000 0.5000 0.5000 x1
O1 0.0000 0.0000 0.0000 x1

Output
The calculation puts the size of the total moment at 13.00 μB/f.u. The polymorph energy (0 for the lowest one) is 0.000 eV/atom. The calculated total energy comes out at -5.21 eV per atom.